# AsIr3Os | Alexandria | PBE | relaxed
data_AsIr3Os
_chemical_formula_sum 'As1 Ir3 Os1'
_cell_length_a 4.504
_cell_length_b 4.504
_cell_length_c 4.504
_cell_angle_alpha 90.00
_cell_angle_beta 90.00
_cell_angle_gamma 90.00
_space_group_name_H-M_alt 'P 1'
_space_group_IT_number 1
_space_group_name_Hall 'P 1'
loop_
_atom_site_label
_atom_site_fract_x
_atom_site_fract_y
_atom_site_fract_z
As1 0.000 0.000 0.000
Ir1 0.000 0.500 0.000
Ir2 0.000 0.000 0.500
Ir3 0.500 0.000 0.000
Os1 0.500 0.500 0.500
# Calculated volume   18.278 Å³ per atom
# Symmetry   Pm-3m (221)
# E above lowest polymorph   0.0 meV/atom
# DFT formation energy   166 kJ per mole of atoms

=====

# Mn2CoPt9 | Alexandria | PBE | relaxed
data_Mn2CoPt9
_chemical_formula_sum 'Mn2 Co1 Pt9'
_cell_length_a 3.914
_cell_length_b 3.914
_cell_length_c 11.786
_cell_angle_alpha 90.00
_cell_angle_beta 90.00
_cell_angle_gamma 90.00
_space_group_name_H-M_alt 'P 1'
_space_group_IT_number 1
_space_group_name_Hall 'P 1'
loop_
_atom_site_label
_atom_site_fract_x
_atom_site_fract_y
_atom_site_fract_z
Mn1 0.000 0.000 0.333
Mn2 0.000 0.000 0.667
Co1 0.000 0.000 0.000
Pt1 0.500 0.500 0.000
Pt2 0.500 0.500 0.332
Pt3 0.500 0.500 0.668
Pt4 0.500 0.000 0.164
Pt5 0.500 0.000 0.500
Pt6 0.500 0.000 0.836
Pt7 0.000 0.500 0.164
Pt8 0.000 0.500 0.500
Pt9 0.000 0.500 0.836
# Calculated volume   15.048 Å³ per atom
# Symmetry   P4/mmm (123)
# DFT formation energy   -25 kJ per mole of atoms

=====

# TePBr2 | Alexandria | PBE | relaxed
data_TePBr2
_chemical_formula_sum 'Te1 P1 Br2'
_cell_length_a 3.312
_cell_length_b 4.367
_cell_length_c 6.585
_cell_angle_alpha 90.00
_cell_angle_beta 90.00
_cell_angle_gamma 90.00
_space_group_name_H-M_alt 'P 1'
_space_group_IT_number 1
_space_group_name_Hall 'P 1'
loop_
_atom_site_label
_atom_site_fract_x
_atom_site_fract_y
_atom_site_fract_z
Br1 0.000 0.000 0.012
Br2 0.000 0.000 0.488
P1 0.500 0.500 0.250
Te1 0.500 0.500 0.750
# Calculated volume   23.811 Å³ per atom
# Symmetry   Pmmm (47)
# E above lowest polymorph   837.6 meV/atom
# Uncorrected formation energy   74.07 kJ/mol of atoms

=====

# Nd4Er10Th | Alexandria | PBE | relaxed
data_Nd4Er10Th
_chemical_formula_sum 'Nd4 Er10 Th1'
_cell_length_a 8.043
_cell_length_b 8.883
_cell_length_c 8.883
_cell_angle_alpha 78.17
_cell_angle_beta 63.08
_cell_angle_gamma 63.08
_space_group_name_H-M_alt 'P 1'
_space_group_IT_number 1
_space_group_name_Hall 'P 1'
loop_
_atom_site_label
_atom_site_fract_x
_atom_site_fract_y
_atom_site_fract_z
Nd1 0.225 0.000 0.550
Nd2 0.775 0.450 0.000
Nd3 0.225 0.550 0.000
Nd4 0.775 0.000 0.450
Er1 0.250 0.500 0.500
Er2 0.704 0.206 0.794
Er3 0.090 0.206 0.206
Er4 0.503 0.794 0.794
Er5 0.704 0.794 0.206
Er6 0.296 0.794 0.206
Er7 0.750 0.500 0.500
Er8 0.296 0.206 0.794
Er9 0.497 0.206 0.206
Er10 0.910 0.794 0.794
Th1 0.000 0.000 0.000
# Calculated volume   33.643 Å³ per atom
# Symmetry   I4/mmm (139)
# DFT formation energy   24 kJ per mole of atoms

=====

# CeSm2Sn3 | Alexandria | PBE | relaxed
data_CeSm2Sn3
_chemical_formula_sum 'Ce1 Sm2 Sn3'
_cell_length_a 3.691
_cell_length_b 6.363
_cell_length_c 8.701
_cell_angle_alpha 111.45
_cell_angle_beta 102.25
_cell_angle_gamma 90.00
_space_group_name_H-M_alt 'P 1'
_space_group_IT_number 1
_space_group_name_Hall 'P 1'
loop_
_atom_site_label
_atom_site_fract_x
_atom_site_fract_y
_atom_site_fract_z
Ce1 0.000 0.500 0.000
Sm1 0.667 0.167 0.335
Sm2 0.333 0.833 0.665
Sn1 0.334 0.334 0.667
Sn2 0.000 0.000 0.000
Sn3 0.666 0.666 0.333
# Calculated volume   30.868 Å³ per atom
# Symmetry   Immm (71)
# DFT formation energy   -53 kJ per mole of atoms

=====

# LiRu2WS | Alexandria | PBE | relaxed
data_LiRu2WS
_chemical_formula_sum 'Li1 Ru2 W1 S1'
_cell_length_a 4.645
_cell_length_b 4.934
_cell_length_c 4.645
_cell_angle_alpha 90.00
_cell_angle_beta 90.00
_cell_angle_gamma 90.00
_space_group_name_H-M_alt 'P 1'
_space_group_IT_number 1
_space_group_name_Hall 'P 1'
loop_
_atom_site_label
_atom_site_fract_x
_atom_site_fract_y
_atom_site_fract_z
Ru1 0.000 0.000 0.500
Ru2 0.500 0.000 0.000
S1 0.500 0.500 0.500
W1 0.000 0.000 0.000
Li1 0.000 0.500 0.000
# Calculated volume   21.289 Å³ per atom
# Symmetry   P4/mmm (123)
# Uncorrected formation energy   151.21 kJ/mol of atoms

=====

# PrNd2P3Rh12 | Alexandria | PBE | relaxed
data_PrNd2P3Rh12
_chemical_formula_sum 'Pr1 Nd2 P3 Rh12'
_cell_length_a 6.786
_cell_length_b 6.786
_cell_length_c 6.786
_cell_angle_alpha 84.39
_cell_angle_beta 84.39
_cell_angle_gamma 84.39
_space_group_name_H-M_alt 'P 1'
_space_group_IT_number 1
_space_group_name_Hall 'P 1'
loop_
_atom_site_label
_atom_site_fract_x
_atom_site_fract_y
_atom_site_fract_z
Pr1 0.000 0.000 0.000
Nd1 0.628 0.628 0.628
Nd2 0.372 0.372 0.372
P1 0.500 0.000 0.000
P2 0.000 0.500 0.000
P3 0.000 0.000 0.500
Rh1 0.367 0.367 0.911
Rh2 0.821 0.821 0.339
Rh3 0.339 0.821 0.821
Rh4 0.911 0.367 0.367
Rh5 0.821 0.339 0.821
Rh6 0.367 0.911 0.367
Rh7 0.633 0.633 0.089
Rh8 0.179 0.179 0.661
Rh9 0.661 0.179 0.179
Rh10 0.089 0.633 0.633
Rh11 0.179 0.661 0.179
Rh12 0.633 0.089 0.633
# Calculated volume   17.123 Å³ per atom
# Symmetry   R-3m (166)
# DFT formation energy   -29 kJ per mole of atoms

=====

# Np2SnP | Alexandria | PBE | relaxed
data_Np2SnP
_chemical_formula_sum 'Np2 Sn1 P1'
_cell_length_a 3.366
_cell_length_b 3.366
_cell_length_c 7.953
_cell_angle_alpha 90.00
_cell_angle_beta 90.00
_cell_angle_gamma 90.00
_space_group_name_H-M_alt 'P 1'
_space_group_IT_number 1
_space_group_name_Hall 'P 1'
loop_
_atom_site_label
_atom_site_fract_x
_atom_site_fract_y
_atom_site_fract_z
Np1 0.000 0.000 0.796
Np2 0.000 0.000 0.204
P1 0.500 0.500 0.000
Sn1 0.500 0.500 0.500
# Calculated volume   22.526 Å³ per atom
# Symmetry   P4/mmm (123)
# E above lowest polymorph   0.0 meV/atom
# DFT formation energy   -37 kJ per mole of atoms